First-principles (PBE) data for TaMn2PtN after structural relaxation, as listed in Alexandria.

Structure (CIF):
```
data_TaMn2PtN
_cell_length_a 3.950
_cell_length_b 3.950
_cell_length_c 4.158
_cell_angle_alpha 90.00
_cell_angle_beta 90.00
_cell_angle_gamma 90.00
_space_group_name_H-M_alt 'P 4/m m m'
_space_group_IT_number 123
_space_group_name_Hall '-P 4 2'
loop_
_atom_site_label
_atom_site_type_symbol
_atom_site_fract_x
_atom_site_fract_y
_atom_site_fract_z
Ta1 Ta 0.000 0.000 0.000
Mn1 Mn 0.000 0.500 0.500
Pt1 Pt 0.500 0.500 0.000
N1 N 0.000 0.000 0.500
```

Summary:
As for the formation energy from raw total energies: -504 meV/atom. The value obtained for the size of the total moment is 5.09 μB/f.u.